Record 1
TlCd2Co | GGA-PBE | optimized geometry

POSCAR file:
```
TlCd2Co
1.0
5.1709 0.1187 -0.1110
-2.0774 4.7368 -0.1110
0.0685 0.1076 3.2783
Cd Co Tl
2 1 1
direct
0.0000 0.0000 0.0000
0.5000 0.5000 0.0000
0.5000 0.0000 0.5000
0.0000 0.5000 0.5000
```

Computed properties:
SG: No. 65
D(E_F), states/eV/cell: 3.4
Calculated total energy, eV/atom: -2.403
Formation enthalpy at 0 K, eV/atom: 0.42
Polymorph energy (0 for the lowest one), meV/atom: 196



Record 2
TlCdCo2 | GGA-PBE | optimized geometry

POSCAR file:
```
TlCdCo2
1.0
8.5933 -0.0152 -0.0090
8.0641 2.9693 -0.0090
8.0641 1.4301 2.6022
Cd Co Tl
1 2 1
direct
0.7500 0.7500 0.7500
0.9998 0.9998 0.9998
0.5002 0.5002 0.5002
0.2500 0.2500 0.2500
```

Computed properties:
SG: No. 166
D(E_F), states/eV/cell: 4.7
Calculated total energy, eV/atom: -3.761
Formation enthalpy at 0 K, eV/atom: 0.61
Polymorph energy (0 for the lowest one), meV/atom: 284



Record 3
Tl4CdCo | GGA-PBE | optimized geometry

POSCAR file:
```
Tl4CdCo
1.0
0.0000 4.4563 4.4563
4.4563 0.0000 4.4563
4.4563 4.4563 0.0000
Tl Cd Co
4 1 1
direct
0.8760 0.3747 0.3747
0.3747 0.3747 0.8760
0.3747 0.8760 0.3747
0.3747 0.3747 0.3747
0.7500 0.7500 0.7500
0.0000 0.0000 0.0000
```

Computed properties:
SG: No. 216
D(E_F), states/eV/cell: 8.5
Calculated total energy, eV/atom: -2.214
Formation enthalpy at 0 K, eV/atom: 0.70



Record 4
TlCd2Co | GGA-PBE | optimized geometry

POSCAR file:
```
TlCd2Co
1.0
6.8309 0.0484 0.0011
4.6912 4.9656 -0.0011
-5.3423 -3.4693 2.4674
Cd Co Tl
2 1 1
direct
0.9355 0.9355 0.0000
0.5645 0.5645 0.0000
0.7500 0.2500 0.5000
0.2500 0.7500 0.5000
```

Computed properties:
SG: No. 71
D(E_F), states/eV/cell: 2.3
Calculated total energy, eV/atom: -2.599
Formation enthalpy at 0 K, eV/atom: 0.23
Polymorph energy (0 for the lowest one), meV/atom: 0